Fe2TcCl: optimized geometry, GGA-PBE.

Properties
Formation energy from raw total energies in eV/atom: 0.6947
ρ in g cm⁻³: 7.43
Total DFT energy (no corrections) in eV/atom: -6.590
Energy above the most stable polymorph in this dataset in meV/atom: 427

```
data_Fe2TcCl
_cell_length_a 2.805
_cell_length_b 4.327
_cell_length_c 4.513
_cell_angle_alpha 90.00
_cell_angle_beta 90.00
_cell_angle_gamma 90.00
_symmetry_space_group_name_H-M 'P m m m'
_symmetry_Int_Tables_number 47
_symmetry_space_group_name_Hall '-P 2 2'
loop_
_atom_site_label
_atom_site_fract_x
_atom_site_fract_y
_atom_site_fract_z
_atom_site_occupancy
Fe1 0.000 0.000 0.000 1
Fe2 0.500 0.500 0.000 1
Tc1 0.000 0.500 0.500 1
Cl1 0.500 0.000 0.500 1
```



Fe4Tc2Cl: optimized geometry, GGA-PBE.

Properties
Formation energy from raw total energies in eV/atom: 1.1050
ρ in g cm⁻³: 7.41
Total DFT energy (no corrections) in eV/atom: -6.956

```
data_Fe4Tc2Cl
_cell_length_a 4.042
_cell_length_b 4.042
_cell_length_c 12.475
_cell_angle_alpha 90.00
_cell_angle_beta 90.00
_cell_angle_gamma 90.00
_symmetry_space_group_name_H-M 'I 4/m m m'
_symmetry_Int_Tables_number 139
_symmetry_space_group_name_Hall '-I 4 2'
loop_
_atom_site_label
_atom_site_fract_x
_atom_site_fract_y
_atom_site_fract_z
_atom_site_occupancy
Fe1 0.000 0.000 0.180 1
Fe2 0.000 0.500 0.000 1
Tc1 0.000 0.000 0.359 1
Cl1 0.000 0.000 0.000 1
```



Fe2TcCl: optimized geometry, GGA-PBE.

Properties
Formation energy from raw total energies in eV/atom: 0.8716
ρ in g cm⁻³: 6.14
Total DFT energy (no corrections) in eV/atom: -6.413
Energy above the most stable polymorph in this dataset in meV/atom: 604

```
data_Fe2TcCl
_cell_length_a 5.412
_cell_length_b 5.412
_cell_length_c 9.051
_cell_angle_alpha 90.00
_cell_angle_beta 90.00
_cell_angle_gamma 90.00
_symmetry_space_group_name_H-M 'I -4 2 d'
_symmetry_Int_Tables_number 122
_symmetry_space_group_name_Hall 'I -4 2bw'
loop_
_atom_site_label
_atom_site_fract_x
_atom_site_fract_y
_atom_site_fract_z
_atom_site_occupancy
Fe1 0.239 0.250 0.125 1
Tc1 0.000 0.000 0.500 1
Cl1 0.000 0.000 0.000 1
```